VASP calculation (PBE) on DySb2Rh4 after structural relaxation.

## Properties
Total DFT energy (no corrections) in eV per atom: -6.599
Total magnetization in μB per cell: 0.0
Polymorph energy (0 for the lowest one) in kJ per mole of atoms: 0.00
V in A^3/atom: 18.60
Formation energy from raw total energies in eV/atom: -0.563
N(E_F) in states/eV/f.u.: 5.77
SG: P4_2/mnm, No. 136

Unit cell a=4.110 b=7.959 c=7.959 alpha=90.00 beta=90.00 gamma=90.00
Element x y z (fractional)
Dy  0.500  0.000  0.000
Dy  0.000  0.500  0.500
Sb  0.000  0.224  0.776
Sb  0.000  0.776  0.224
Sb  0.500  0.724  0.724
Sb  0.500  0.276  0.276
Rh  0.000  0.081  0.343
Rh  0.000  0.919  0.657
Rh  0.500  0.157  0.581
Rh  0.500  0.843  0.419
Rh  0.500  0.419  0.843
Rh  0.500  0.581  0.157
Rh  0.000  0.343  0.081
Rh  0.000  0.657  0.919